# UHgPt2 (GGA-PBE, relaxed)
data_UHgPt2
_chemical_formula_sum 'U1 Hg1 Pt2'
_symmetry_space_group_name_H-M 'P 1'
_symmetry_Int_Tables_number 1
_cell_length_a 3.335
_cell_length_b 3.335
_cell_length_c 7.142
_cell_angle_alpha 90.00
_cell_angle_beta 90.00
_cell_angle_gamma 90.00
loop_
_symmetry_equiv_pos_as_xyz
'x,y,z'
loop_
_atom_site_label
_atom_site_type_symbol
_atom_site_fract_x
_atom_site_fract_y
_atom_site_fract_z
U1 U 0.500 0.500 0.000
Hg1 Hg 0.500 0.500 0.500
Pt1 Pt 0.000 0.000 0.241
Pt2 Pt 0.000 0.000 0.759
# - Magnetization: 1.3 μB per formula unit
# - DFT formation energy: -414.4 meV/atom
# - Energy above the lowest structure with this stoichiometry: 0.024 eV per atom
# - E: -6.33 eV per atom
# - Density of states at the Fermi level: 3.992 states/eV/cell
# - Symmetry: No. 123